# PBE NdTaN2O, relaxed
data_NdTaN2O
_space_group_name_H-M_alt 'P 1'
_space_group_IT_number 1
_space_group_name_Hall 'P 1'
_cell_length_a 5.672
_cell_length_b 9.847
_cell_length_c 9.848
_cell_angle_alpha 71.32
_cell_angle_beta 89.97
_cell_angle_gamma 90.00
loop_
_atom_site_label
_atom_site_type_symbol
_atom_site_fract_x
_atom_site_fract_y
_atom_site_fract_z
Nd1 Nd 0.000 0.000 0.000
Nd2 Nd 0.002 0.503 0.497
Nd3 Nd 0.023 0.788 0.711
Nd4 Nd 0.026 0.293 0.205
Nd5 Nd 0.499 0.550 0.950
Nd6 Nd 0.504 0.048 0.453
Nd7 Nd 0.522 0.258 0.741
Nd8 Nd 0.527 0.759 0.240
Ta1 Ta 0.002 0.137 0.608
Ta2 Ta 0.033 0.906 0.356
Ta3 Ta 0.497 0.642 0.599
Ta4 Ta 0.497 0.907 0.850
Ta5 Ta 0.502 0.158 0.087
Ta6 Ta 0.533 0.404 0.356
Ta7 Ta 0.997 0.400 0.854
Ta8 Ta 0.997 0.650 0.090
N1 N 0.234 0.063 0.228
N2 N 0.239 0.563 0.728
N3 N 0.239 0.766 0.935
N4 N 0.305 0.816 0.479
N5 N 0.309 0.316 0.977
N6 N 0.310 0.023 0.678
N7 N 0.430 0.534 0.460
N8 N 0.434 0.032 0.966
N9 N 0.735 0.280 0.513
N10 N 0.737 0.777 0.013
N11 N 0.741 0.486 0.713
N12 N 0.804 0.527 0.264
N13 N 0.809 0.030 0.767
N14 N 0.810 0.229 0.971
N15 N 0.931 0.013 0.483
N16 N 0.933 0.514 0.982
O1 O 0.112 0.780 0.214
O2 O 0.115 0.290 0.703
O3 O 0.237 0.269 0.423
O4 O 0.308 0.509 0.180
O5 O 0.613 0.762 0.731
O6 O 0.614 0.255 0.238
O7 O 0.737 0.973 0.219
O8 O 0.806 0.731 0.460
# * final energy: -383.0 eV per cell
# * crystal system: triclinic
# * spin magnetization: 0.001 μB per formula unit